Entry 1:
First-principles (PBE) data for crystalline NdYPt4 at its relaxed geometry, as listed in Alexandria.

Geometry as CIF:
```
data_NdYPt4
_chemical_formula_sum 'Nd1 Y1 Pt4'
_cell_length_a 5.481
_cell_length_b 5.481
_cell_length_c 5.481
_cell_angle_alpha 60.00
_cell_angle_beta 60.00
_cell_angle_gamma 60.00
_symmetry_space_group_name_H-M 'P 1'
_symmetry_Int_Tables_number 1
loop_
_symmetry_equiv_pos_as_xyz
'x,y,z'
loop_
_atom_site_label
_atom_site_type_symbol
_atom_site_fract_x
_atom_site_fract_y
_atom_site_fract_z
Pt1 Pt 0.625 0.625 0.126
Pt2 Pt 0.625 0.625 0.625
Pt3 Pt 0.625 0.126 0.625
Pt4 Pt 0.126 0.625 0.625
Y1 Y 0.250 0.250 0.250
Nd1 Nd 0.000 0.000 0.000
```

Output
E_tot in eV per atom: -6.982
D(E_F) in states/eV/cell: 0.915
Energy relative to the elements in meV/atom: -1083

***

Entry 2:
First-principles (PBE) data for crystalline Zr2NbVZn at its relaxed geometry, as listed in Alexandria.

Geometry as CIF:
```
data_Zr2NbVZn
_chemical_formula_sum 'Zr2 Nb1 V1 Zn1'
_cell_length_a 4.926
_cell_length_b 4.550
_cell_length_c 4.926
_cell_angle_alpha 90.00
_cell_angle_beta 90.00
_cell_angle_gamma 90.00
_symmetry_space_group_name_H-M 'P 1'
_symmetry_Int_Tables_number 1
loop_
_symmetry_equiv_pos_as_xyz
'x,y,z'
loop_
_atom_site_label
_atom_site_type_symbol
_atom_site_fract_x
_atom_site_fract_y
_atom_site_fract_z
Zr1 Zr 0.500 0.000 0.000
Zr2 Zr 0.000 0.000 0.500
Zn1 Zn 0.500 0.500 0.500
V1 V 0.000 0.000 0.000
Nb1 Nb 0.000 0.500 0.000
```

Output
E_tot in eV per atom: -6.765
D(E_F) in states/eV/cell: 7.717
Energy relative to the elements in meV/atom: 747

***

Entry 3:
First-principles (PBE) data for crystalline MgCo2Mo at its relaxed geometry, as listed in Alexandria.

Geometry as CIF:
```
data_MgCo2Mo
_chemical_formula_sum 'Mg1 Co2 Mo1'
_cell_length_a 6.441
_cell_length_b 4.406
_cell_length_c 2.746
_cell_angle_alpha 90.04
_cell_angle_beta 64.71
_cell_angle_gamma 126.71
_symmetry_space_group_name_H-M 'P 1'
_symmetry_Int_Tables_number 1
loop_
_symmetry_equiv_pos_as_xyz
'x,y,z'
loop_
_atom_site_label
_atom_site_type_symbol
_atom_site_fract_x
_atom_site_fract_y
_atom_site_fract_z
Mo1 Mo 0.500 0.500 0.000
Mg1 Mg 0.000 0.500 0.500
Co1 Co 0.000 0.000 0.000
Co2 Co 0.500 0.000 0.500
```

Output
E_tot in eV per atom: -6.495
D(E_F) in states/eV/cell: 4.558
Energy relative to the elements in meV/atom: 165

***

- Which of these has the lowest E_tot?
  NdYPt4

***

- What is the energy relative to the elements in the first record?
  -1083 meV/atom